# 1
# Li3TlNi (GGA-PBEsol, optimized geometry)
data_Li3TlNi
_chemical_formula_sum 'Li3 Tl1 Ni1'
_cell_length_a 4.489
_cell_length_b 4.489
_cell_length_c 4.489
_cell_angle_alpha 90.00
_cell_angle_beta 90.00
_cell_angle_gamma 90.00
_symmetry_space_group_name_H-M 'P 1'
_symmetry_Int_Tables_number 1
loop_
_symmetry_equiv_pos_as_xyz
'x,y,z'
loop_
_atom_site_label
_atom_site_type_symbol
_atom_site_fract_x
_atom_site_fract_y
_atom_site_fract_z
Li1 Li 0.000 0.000 0.500
Li2 Li 0.000 0.500 0.000
Li3 Li 0.500 0.000 0.000
Tl1 Tl 0.500 0.500 0.500
Ni1 Ni 0.000 0.000 0.000
# Magnetic moment (μB per atom): 0.000
# D(E_F) (states/eV per atom): 0.6389
# Total energy (hartree per atom): -0.099
# Formation enthalpy at 0 K (meV per atom): 251.1

***

# 2
# Li4TlNi (GGA-PBEsol, optimized geometry)
data_Li4TlNi
_chemical_formula_sum 'Li4 Tl1 Ni1'
_cell_length_a 4.919
_cell_length_b 4.919
_cell_length_c 4.919
_cell_angle_alpha 60.00
_cell_angle_beta 60.00
_cell_angle_gamma 60.00
_symmetry_space_group_name_H-M 'P 1'
_symmetry_Int_Tables_number 1
loop_
_symmetry_equiv_pos_as_xyz
'x,y,z'
loop_
_atom_site_label
_atom_site_type_symbol
_atom_site_fract_x
_atom_site_fract_y
_atom_site_fract_z
Li1 Li 0.376 0.376 0.376
Li2 Li 0.376 0.376 0.871
Li3 Li 0.376 0.871 0.376
Li4 Li 0.871 0.376 0.376
Tl1 Tl 0.000 0.000 0.000
Ni1 Ni 0.750 0.750 0.750
# Magnetic moment (μB per atom): 0.000
# D(E_F) (states/eV per atom): 0.3295
# Total energy (hartree per atom): -0.099
# Formation enthalpy at 0 K (meV per atom): 82.8

***

# 3
# Li2NiW (GGA-PBEsol, optimized geometry)
data_Li2NiW
_chemical_formula_sum 'Li2 Ni1 W1'
_cell_length_a 4.075
_cell_length_b 4.075
_cell_length_c 4.075
_cell_angle_alpha 60.00
_cell_angle_beta 60.00
_cell_angle_gamma 60.00
_symmetry_space_group_name_H-M 'P 1'
_symmetry_Int_Tables_number 1
loop_
_symmetry_equiv_pos_as_xyz
'x,y,z'
loop_
_atom_site_label
_atom_site_type_symbol
_atom_site_fract_x
_atom_site_fract_y
_atom_site_fract_z
Li1 Li 0.000 0.000 0.000
Li2 Li 0.250 0.250 0.250
Ni1 Ni 0.750 0.750 0.750
W1 W 0.500 0.500 0.500
# Magnetic moment (μB per atom): 0.000
# D(E_F) (states/eV per atom): 0.1752
# Total energy (hartree per atom): -0.204
# Formation enthalpy at 0 K (meV per atom): 428.8

***

# 4
# Li2NiW (GGA-PBEsol, optimized geometry)
data_Li2NiW
_chemical_formula_sum 'Li2 Ni1 W1'
_cell_length_a 2.520
_cell_length_b 4.639
_cell_length_c 4.492
_cell_angle_alpha 90.00
_cell_angle_beta 93.05
_cell_angle_gamma 90.00
_symmetry_space_group_name_H-M 'P 1'
_symmetry_Int_Tables_number 1
loop_
_symmetry_equiv_pos_as_xyz
'x,y,z'
loop_
_atom_site_label
_atom_site_type_symbol
_atom_site_fract_x
_atom_site_fract_y
_atom_site_fract_z
Li1 Li 0.171 0.000 0.255
Li2 Li 0.829 0.000 0.745
Ni1 Ni 0.000 0.500 0.500
W1 W 0.500 0.500 0.000
# Magnetic moment (μB per atom): 0.000
# D(E_F) (states/eV per atom): 0.5671
# Total energy (hartree per atom): -0.208
# Formation enthalpy at 0 K (meV per atom): 315.0